Below is HgPIr2 after structural relaxation, with properties calculated at the PBE level. Values from VASP.

Symmetry ... P4/mmm, No. 123
Magnetic moment ... 0.00 μB/cell
Crystal system ... tetragonal
VASP energy ... -20.981 eV for the cell shown
ΔH_f (0 K) ... 0.613 eV per atom
Density of states at the Fermi level ... 3.1 states/eV/cell
Relative energy among the computed polymorphs ... 591 meV per atom

Quantum ESPRESSO input file:
```
&SYSTEM
  ibrav = 0, nat = 4, ntyp = 3
/
ATOMIC_SPECIES
Hg 200.59 Hg.upf
P 30.97 P.upf
Ir 192.22 Ir.upf
ATOMIC_POSITIONS crystal
Hg 0.0000 0.0000 0.0000
P 0.5000 0.5000 0.0000
Ir 0.0000 0.5000 0.5000
Ir 0.5000 0.0000 0.5000
CELL_PARAMETERS angstrom
4.2990 0.0000 0.0000
0.0000 4.2990 0.0000
0.0000 0.0000 3.4356
```



Below is HgP2Ir after structural relaxation, with properties calculated at the PBE level. Values from VASP.

Symmetry ... R-3m, No. 166
Magnetic moment ... 0.00 μB/cell
Crystal system ... trigonal
VASP energy ... -59.865 eV for the cell shown
ΔH_f (0 K) ... 0.007 eV per atom
Density of states at the Fermi level ... 7.1 states/eV/cell

Quantum ESPRESSO input file:
```
&SYSTEM
  ibrav = 0, nat = 12, ntyp = 3
/
ATOMIC_SPECIES
Hg 200.59 Hg.upf
P 30.97 P.upf
Ir 192.22 Ir.upf
ATOMIC_POSITIONS crystal
Hg 0.0000 0.0000 0.0000
Hg 0.3333 0.6667 0.6667
Hg 0.6667 0.3333 0.3333
P 0.0000 0.0000 0.2246
P 0.0000 0.0000 0.7754
P 0.3333 0.6667 0.4421
P 0.3333 0.6667 0.8912
P 0.6667 0.3333 0.1088
P 0.6667 0.3333 0.5579
Ir 0.0000 0.0000 0.5000
Ir 0.3333 0.6667 0.1667
Ir 0.6667 0.3333 0.8333
CELL_PARAMETERS angstrom
3.6429 0.0000 0.0000
-1.8214 3.1548 0.0000
0.0000 0.0000 20.0099
```



Below is HgPIr2 after structural relaxation, with properties calculated at the PBE level. Values from VASP.

Symmetry ... C2/m, No. 12
Magnetic moment ... 0.00 μB/cell
Crystal system ... monoclinic
VASP energy ... -46.685 eV for the cell shown
ΔH_f (0 K) ... 0.023 eV per atom
Density of states at the Fermi level ... 2.4 states/eV/cell
Relative energy among the computed polymorphs ... 0 meV per atom

Quantum ESPRESSO input file:
```
&SYSTEM
  ibrav = 0, nat = 8, ntyp = 3
/
ATOMIC_SPECIES
Hg 200.59 Hg.upf
P 30.97 P.upf
Ir 192.22 Ir.upf
ATOMIC_POSITIONS crystal
Hg 0.0000 0.0000 0.0000
Hg 0.5000 0.5000 0.0000
P 0.0000 0.5000 0.5000
P 0.5000 0.0000 0.5000
Ir 0.2223 0.0000 0.6677
Ir 0.2777 0.5000 0.3323
Ir 0.7223 0.5000 0.6677
Ir 0.7777 0.0000 0.3323
CELL_PARAMETERS angstrom
6.3392 0.0000 0.0000
0.0000 3.6723 0.0000
-2.1239 0.0000 5.9046
```